No. 1
The following is a PBE calculation of a relaxed structure of Ba4LaSb, from Alexandria. Values from VASP.

Cell and atoms, written as Quantum ESPRESSO input:
```
&SYSTEM
  ibrav = 0, nat = 6, ntyp = 3
/
ATOMIC_SPECIES
Ba 137.33 Ba.upf
La 138.91 La.upf
Sb 121.76 Sb.upf
ATOMIC_POSITIONS crystal
Ba 0.8786 0.3738 0.3738
Ba 0.3738 0.3738 0.8786
Ba 0.3738 0.8786 0.3738
Ba 0.3738 0.3738 0.3738
La 0.7500 0.7500 0.7500
Sb 0.0000 0.0000 0.0000
CELL_PARAMETERS angstrom
0.0000 5.2098 5.2098
5.2098 0.0000 5.2098
5.2098 5.2098 0.0000
```

space group	F-43m (216)
total magnetic moment	2.38	μB per formula unit
DOS(E_F)	1.592	states/eV per atom
ΔE_f (raw)	0.265	eV/atom
E_tot	-15.15	eV for the cell shown

No. 2
The following is a PBE calculation of a relaxed structure of BaLa2Sb2, from Alexandria. Values from VASP.

Cell and atoms, written as Quantum ESPRESSO input:
```
&SYSTEM
  ibrav = 0, nat = 5, ntyp = 3
/
ATOMIC_SPECIES
Sb 121.76 Sb.upf
Ba 137.33 Ba.upf
La 138.91 La.upf
ATOMIC_POSITIONS crystal
Sb 0.3913 0.3913 0.2175
Sb 0.6087 0.6087 0.7825
Ba 0.0000 0.0000 0.0000
La 0.7500 0.2500 0.5000
La 0.2500 0.7500 0.5000
CELL_PARAMETERS angstrom
-0.8776 -4.4234 2.0117
4.3442 0.2018 2.3390
-1.6207 1.2555 8.1142
```

space group	I4/mmm (139)
total magnetic moment	0.00	μB per formula unit
DOS(E_F)	0.704	states/eV per atom
ΔE_f (raw)	-0.845	eV/atom
E_tot	-24.25	eV for the cell shown

No. 3
The following is a PBE calculation of a relaxed structure of Ba2LaSb, from Alexandria. Values from VASP.

Cell and atoms, written as Quantum ESPRESSO input:
```
&SYSTEM
  ibrav = 0, nat = 4, ntyp = 3
/
ATOMIC_SPECIES
Ba 137.33 Ba.upf
La 138.91 La.upf
Sb 121.76 Sb.upf
ATOMIC_POSITIONS crystal
Ba 0.0000 0.0000 0.0000
Ba 0.5000 0.5000 0.0000
La 0.5000 0.0000 0.5000
Sb 0.0000 0.5000 0.5000
CELL_PARAMETERS angstrom
5.1037 1.0657 -0.0792
-1.0647 5.1039 -0.0792
0.0632 0.0965 5.5425
```

space group	P4/mmm (123)
total magnetic moment	0.00	μB per formula unit
DOS(E_F)	1.318	states/eV per atom
ΔE_f (raw)	-0.408	eV/atom
E_tot	-14.53	eV for the cell shown

No. 4
The following is a PBE calculation of a relaxed structure of Ba2LaSb, from Alexandria. Values from VASP.

Cell and atoms, written as Quantum ESPRESSO input:
```
&SYSTEM
  ibrav = 0, nat = 4, ntyp = 3
/
ATOMIC_SPECIES
Ba 137.33 Ba.upf
La 138.91 La.upf
Sb 121.76 Sb.upf
ATOMIC_POSITIONS crystal
Ba 0.0000 0.9800 0.9139
Ba 0.5000 0.2782 0.3194
La 0.0000 0.6871 0.5021
Sb 0.5000 0.5548 0.7645
CELL_PARAMETERS angstrom
-4.5115 0.1439 2.3099
-0.5511 -4.9722 -0.7667
2.8563 -3.7921 5.8149
```

space group	Pm (6)
total magnetic moment	0.37	μB per formula unit
DOS(E_F)	1.091	states/eV per atom
ΔE_f (raw)	-0.470	eV/atom
E_tot	-14.78	eV for the cell shown

No. 5
The following is a PBE calculation of a relaxed structure of Ba2LaSb, from Alexandria. Values from VASP.

Cell and atoms, written as Quantum ESPRESSO input:
```
&SYSTEM
  ibrav = 0, nat = 4, ntyp = 3
/
ATOMIC_SPECIES
Ba 137.33 Ba.upf
La 138.91 La.upf
Sb 121.76 Sb.upf
ATOMIC_POSITIONS crystal
Ba 0.0000 0.0000 0.0000
Ba 0.2500 0.7500 0.5000
La 0.5000 0.5000 0.0000
Sb 0.7500 0.2500 0.5000
CELL_PARAMETERS angstrom
6.6681 0.0000 0.0000
2.5570 6.1584 0.0000
-4.6126 -3.0792 3.7023
```

space group	I-4m2 (119)
total magnetic moment	0.00	μB per formula unit
DOS(E_F)	1.205	states/eV per atom
ΔE_f (raw)	-0.346	eV/atom
E_tot	-14.28	eV for the cell shown

No. 6
The following is a PBE calculation of a relaxed structure of BaLaSb, from Alexandria. Values from VASP.

Cell and atoms, written as Quantum ESPRESSO input:
```
&SYSTEM
  ibrav = 0, nat = 3, ntyp = 3
/
ATOMIC_SPECIES
Ba 137.33 Ba.upf
La 138.91 La.upf
Sb 121.76 Sb.upf
ATOMIC_POSITIONS crystal
Ba 0.9712 0.9712 0.0288
La 0.7165 0.7165 0.2835
Sb 0.3123 0.3123 0.6877
CELL_PARAMETERS angstrom
7.7124 0.0041 -0.0044
6.5663 4.0470 -0.0108
1.1461 0.3346 4.0291
```

space group	I4mm (107)
total magnetic moment	0.00	μB per formula unit
DOS(E_F)	1.032	states/eV per atom
ΔE_f (raw)	-0.659	eV/atom
E_tot	-12.95	eV for the cell shown

No. 7
The following is a PBE calculation of a relaxed structure of BaLaSb2, from Alexandria. Values from VASP.

Cell and atoms, written as Quantum ESPRESSO input:
```
&SYSTEM
  ibrav = 0, nat = 4, ntyp = 3
/
ATOMIC_SPECIES
Ba 137.33 Ba.upf
La 138.91 La.upf
Sb 121.76 Sb.upf
ATOMIC_POSITIONS crystal
Ba 0.0000 0.0000 0.3753
La 0.5000 0.5000 0.8749
Sb 0.0000 0.0000 0.8753
Sb 0.5000 0.5000 0.3746
CELL_PARAMETERS angstrom
4.7890 0.0000 0.0000
0.0000 4.7946 0.0000
0.0000 0.0000 6.7904
```

space group	P4/mmm (123)
total magnetic moment	0.00	μB per formula unit
DOS(E_F)	1.034	states/eV per atom
ΔE_f (raw)	-0.934	eV/atom
E_tot	-18.83	eV for the cell shown

No. 8
The following is a PBE calculation of a relaxed structure of BaLaSb2, from Alexandria. Values from VASP.

Cell and atoms, written as Quantum ESPRESSO input:
```
&SYSTEM
  ibrav = 0, nat = 4, ntyp = 3
/
ATOMIC_SPECIES
Ba 137.33 Ba.upf
La 138.91 La.upf
Sb 121.76 Sb.upf
ATOMIC_POSITIONS crystal
Ba 0.5009 0.4999 0.0009
La 0.2492 0.7498 0.4994
Sb 0.0016 0.0002 0.0014
Sb 0.7483 0.2501 0.4983
CELL_PARAMETERS angstrom
-6.7632 0.8782 0.0534
-4.1558 -5.2791 1.2029
5.5747 2.8715 2.6952
```

space group	Cm (8)
total magnetic moment	0.00	μB per formula unit
DOS(E_F)	0.460	states/eV per atom
ΔE_f (raw)	-0.842	eV/atom
E_tot	-18.46	eV for the cell shown

No. 9
The following is a PBE calculation of a relaxed structure of BaLaSb2, from Alexandria. Values from VASP.

Cell and atoms, written as Quantum ESPRESSO input:
```
&SYSTEM
  ibrav = 0, nat = 4, ntyp = 3
/
ATOMIC_SPECIES
Ba 137.33 Ba.upf
La 138.91 La.upf
Sb 121.76 Sb.upf
ATOMIC_POSITIONS crystal
Ba 0.5000 0.5000 0.5000
La 0.7500 0.7500 0.7500
Sb 0.0000 0.0000 0.0000
Sb 0.2500 0.2500 0.2500
CELL_PARAMETERS angstrom
-3.9691 -2.1883 -3.4189
0.8379 -5.0505 -2.4540
-3.0194 -4.5062 1.6759
```

space group	F-43m (216)
total magnetic moment	0.00	μB per formula unit
DOS(E_F)	1.082	states/eV per atom
ΔE_f (raw)	-0.395	eV/atom
E_tot	-16.67	eV for the cell shown

No. 10
The following is a PBE calculation of a relaxed structure of BaLaSb2, from Alexandria. Values from VASP.

Cell and atoms, written as Quantum ESPRESSO input:
```
&SYSTEM
  ibrav = 0, nat = 4, ntyp = 3
/
ATOMIC_SPECIES
Ba 137.33 Ba.upf
La 138.91 La.upf
Sb 121.76 Sb.upf
ATOMIC_POSITIONS crystal
Ba 0.5000 0.2500 0.2500
La 0.5000 0.7500 0.7500
Sb 0.0000 0.0191 0.9811
Sb 0.0000 0.4809 0.5189
CELL_PARAMETERS angstrom
3.5539 0.0000 0.0000
0.0000 4.3194 -0.0093
0.0000 4.3353 8.7428
```

space group	Pmmm (47)
total magnetic moment	0.24	μB per formula unit
DOS(E_F)	0.310	states/eV per atom
ΔE_f (raw)	-0.980	eV/atom
E_tot	-19.02	eV for the cell shown

No. 11
The following is a PBE calculation of a relaxed structure of BaLaSb3, from Alexandria. Values from VASP.

Cell and atoms, written as Quantum ESPRESSO input:
```
&SYSTEM
  ibrav = 0, nat = 5, ntyp = 3
/
ATOMIC_SPECIES
Sb 121.76 Sb.upf
Ba 137.33 Ba.upf
La 138.91 La.upf
ATOMIC_POSITIONS crystal
Sb 0.0000 0.5000 0.0000
Sb 0.0000 0.0000 0.5000
Sb 0.5000 0.0000 0.0000
Ba 0.5000 0.5000 0.5000
La 0.0000 0.0000 0.0000
CELL_PARAMETERS angstrom
-2.9068 -1.2335 5.1192
0.6198 -5.8869 -1.0666
5.2291 0.0121 2.9722
```

space group	Pm-3m (221)
total magnetic moment	0.00	μB per formula unit
DOS(E_F)	1.271	states/eV per atom
ΔE_f (raw)	-0.313	eV/atom
E_tot	-20.78	eV for the cell shown

No. 12
The following is a PBE calculation of a relaxed structure of BaLa2Sb2, from Alexandria. Values from VASP.

Cell and atoms, written as Quantum ESPRESSO input:
```
&SYSTEM
  ibrav = 0, nat = 10, ntyp = 3
/
ATOMIC_SPECIES
Sb 121.76 Sb.upf
Ba 137.33 Ba.upf
La 138.91 La.upf
ATOMIC_POSITIONS crystal
Sb 0.3529 0.8529 0.0000
Sb 0.8529 0.6471 0.0000
Sb 0.6471 0.1471 0.0000
Sb 0.1471 0.3529 0.0000
Ba 0.0000 0.0000 0.0000
Ba 0.5000 0.5000 0.0000
La 0.1488 0.6488 0.5000
La 0.6488 0.8512 0.5000
La 0.8512 0.3512 0.5000
La 0.3512 0.1488 0.5000
CELL_PARAMETERS angstrom
9.0337 0.0000 0.0000
0.0000 9.0337 0.0000
0.0000 0.0000 4.3125
```

space group	P4/mbm (127)
total magnetic moment	0.00	μB per formula unit
DOS(E_F)	1.042	states/eV per atom
ΔE_f (raw)	-0.975	eV/atom
E_tot	-49.80	eV for the cell shown

No. 13
The following is a PBE calculation of a relaxed structure of BaLaSb, from Alexandria. Values from VASP.

Cell and atoms, written as Quantum ESPRESSO input:
```
&SYSTEM
  ibrav = 0, nat = 3, ntyp = 3
/
ATOMIC_SPECIES
Ba 137.33 Ba.upf
La 138.91 La.upf
Sb 121.76 Sb.upf
ATOMIC_POSITIONS crystal
Ba 0.0000 0.0000 0.9806
La 0.6667 0.3333 0.4632
Sb 0.3333 0.6667 0.5563
CELL_PARAMETERS angstrom
5.3819 0.0000 0.0000
-2.6910 4.6609 0.0000
0.0000 0.0000 4.9086
```

space group	P3m1 (156)
total magnetic moment	0.00	μB per formula unit
DOS(E_F)	1.141	states/eV per atom
ΔE_f (raw)	-0.581	eV/atom
E_tot	-12.71	eV for the cell shown

No. 14
The following is a PBE calculation of a relaxed structure of Ba2La2Sb, from Alexandria. Values from VASP.

Cell and atoms, written as Quantum ESPRESSO input:
```
&SYSTEM
  ibrav = 0, nat = 10, ntyp = 3
/
ATOMIC_SPECIES
Sb 121.76 Sb.upf
Ba 137.33 Ba.upf
La 138.91 La.upf
ATOMIC_POSITIONS crystal
Sb 0.0000 0.0000 0.0000
Sb 0.5000 0.5000 0.0000
Ba 0.1672 0.6672 0.5000
Ba 0.6672 0.8328 0.5000
Ba 0.8328 0.3328 0.5000
Ba 0.3328 0.1672 0.5000
La 0.3518 0.8518 0.0000
La 0.8518 0.6482 0.0000
La 0.6482 0.1482 0.0000
La 0.1482 0.3518 0.0000
CELL_PARAMETERS angstrom
-3.5143 -5.3376 5.6062
6.6163 1.1246 5.2183
-2.8751 4.6656 2.6398
```

space group	P4/mbm (127)
total magnetic moment	0.99	μB per formula unit
DOS(E_F)	1.378	states/eV per atom
ΔE_f (raw)	-0.245	eV/atom
E_tot	-38.09	eV for the cell shown